# 1
# HgTe2Pt meta-GGA SCAN PBEsol geometry
# Calculated total energy: -425.38 eV/cell
# Formation energy without anion corrections: 0.043 eV per atom
data_HgTe2Pt
_cell_length_a 3.801
_cell_length_b 5.422
_cell_length_c 9.742
_cell_angle_alpha 90.00
_cell_angle_beta 90.00
_cell_angle_gamma 90.00
_symmetry_space_group_name_H-M 'C m m m'
_symmetry_Int_Tables_number 65
_symmetry_space_group_name_Hall '-C 2 2'
loop_
_atom_site_label
_atom_site_type_symbol
_atom_site_fract_x
_atom_site_fract_y
_atom_site_fract_z
Hg1 Hg 0.000 0.000 0.000
Te1 Te 0.000 0.500 0.307
Pt1 Pt 0.000 0.000 0.500



# 2
# ZnFe2Cl meta-GGA SCAN PBEsol geometry
# Calculated total energy: -56.74 eV/cell
# Formation energy without anion corrections: 0.254 eV per atom
data_ZnFe2Cl
_cell_length_a 2.826
_cell_length_b 2.826
_cell_length_c 6.549
_cell_angle_alpha 90.00
_cell_angle_beta 90.00
_cell_angle_gamma 90.00
_symmetry_space_group_name_H-M 'P 4/m m m'
_symmetry_Int_Tables_number 123
_symmetry_space_group_name_Hall '-P 4 2'
loop_
_atom_site_label
_atom_site_type_symbol
_atom_site_fract_x
_atom_site_fract_y
_atom_site_fract_z
Zn1 Zn 0.000 0.000 0.000
Fe1 Fe 0.500 0.500 0.245
Cl1 Cl 0.000 0.000 0.500